Record 1
DFT (PBE) results for crystalline Hf3RePt at its relaxed geometry.

Properties
- Formation energy from the elements: 0.6153 eV per atom
- Space group: No. 221

POSCAR file:
```
Hf3RePt
1.0
4.958 0.000 0.000
0.000 4.958 0.000
0.000 0.000 4.958
Re Hf Pt
1 3 1
direct
0.000 0.000 0.000
0.000 0.500 0.000
0.000 0.000 0.500
0.500 0.000 0.000
0.500 0.500 0.500
```

Record 2
DFT (PBE) results for crystalline RbGe2BS6 at its relaxed geometry.

Properties
- Raw formation energy: -0.3724 eV/atom
- Space group: No. 15

POSCAR file:
```
RbGe2BS6
1.0
6.780 0.399 0.414
2.643 8.812 -0.467
2.643 -0.793 8.789
Rb Ge B S
2 4 2 12
direct
0.250 0.893 0.107
0.750 0.107 0.893
0.377 0.781 0.607
0.123 0.393 0.219
0.623 0.219 0.393
0.877 0.607 0.781
0.250 0.239 0.761
0.750 0.761 0.239
0.329 0.007 0.753
0.171 0.247 0.993
0.671 0.993 0.247
0.829 0.753 0.007
0.496 0.715 0.344
0.004 0.656 0.285
0.504 0.285 0.656
0.996 0.344 0.715
0.044 0.751 0.624
0.456 0.376 0.249
0.956 0.249 0.376
0.544 0.624 0.751
```

Record 3
DFT (PBE) results for crystalline YFeGeH at its relaxed geometry.

Properties
- Final energy: -6.32 eV per atom
- Space group: No. 129

POSCAR file:
```
YFeGeH
1.0
-1.319 -2.011 -3.030
2.519 -2.830 0.782
-5.169 -3.362 4.482
Y Fe Ge H
2 2 2 2
direct
0.500 0.000 0.658
0.000 0.500 0.342
0.500 0.500 0.000
0.000 0.000 0.000
0.000 0.500 0.814
0.500 0.000 0.186
0.000 0.000 0.500
0.500 0.500 0.500
```

Record 4
DFT (PBE) results for crystalline SrPrY4Se8 at its relaxed geometry.

Properties
- Raw formation energy: -1.8029 eV/atom
- Space group: No. 160

POSCAR file:
```
SrPrY4Se8
1.0
-3.070 -0.959 7.925
4.112 -4.982 5.606
4.165 3.594 6.664
Sr Pr Y Se
1 1 4 8
direct
0.373 0.373 0.881
0.002 0.002 0.995
0.626 0.626 0.123
0.002 0.495 0.502
0.495 0.002 0.502
0.002 0.002 0.502
0.243 0.787 0.726
0.787 0.243 0.726
0.243 0.243 0.726
0.236 0.236 0.292
0.752 0.231 0.266
0.231 0.752 0.266
0.752 0.752 0.266
0.758 0.758 0.726
```

Record 5
DFT (PBE) results for crystalline CuNiH3 at its relaxed geometry.

Properties
- Final energy: -3.54 eV per atom
- Space group: No. 221

POSCAR file:
```
CuNiH3
1.0
3.246 0.000 0.000
0.000 3.246 0.000
0.000 0.000 3.246
Ni Cu H
1 1 3
direct
0.500 0.500 0.500
0.000 0.000 0.000
0.000 0.500 0.000
0.000 0.000 0.500
0.500 0.000 0.000
```

Record 6
DFT (PBE) results for crystalline BeGeRh2 at its relaxed geometry.

Properties
- Formation energy from the elements: -0.5447 eV per atom
- Space group: No. 123

POSCAR file:
```
BeGeRh2
1.0
2.983 0.000 0.000
0.000 4.114 0.000
0.000 0.000 4.114
Be Ge Rh
1 1 2
direct
0.500 0.500 0.500
0.500 0.000 0.000
0.000 0.000 0.500
0.000 0.500 0.000
```

Record 7
DFT (PBE) results for crystalline Si2SbOs at its relaxed geometry.

Properties
- Raw formation energy: 0.2049 eV/atom
- Space group: No. 99

POSCAR file:
```
Si2SbOs
1.0
3.082 0.000 0.000
0.000 3.082 0.000
0.000 0.000 7.365
Os Sb Si
1 1 2
direct
0.000 0.000 0.441
0.500 0.500 0.710
0.000 0.000 0.078
0.500 0.500 0.271
```

Record 8
DFT (PBE) results for crystalline BaVPt2 at its relaxed geometry.

Properties
- Formation energy from the elements: -0.1878 eV per atom
- Space group: No. 141

POSCAR file:
```
BaVPt2
1.0
5.338 0.000 0.000
0.000 5.338 0.000
2.669 2.669 8.093
Ba Pt V
2 4 2
direct
0.000 0.000 0.000
0.750 0.250 0.500
0.375 0.125 0.250
0.375 0.625 0.250
0.375 0.625 0.750
0.875 0.625 0.750
0.500 0.500 0.000
0.250 0.750 0.500
```